Record 1
LaPmPr2Hg4 | PBE | optimized geometry

Cell lengths 9.476, 9.476, 9.476 Å; angles 33.49, 33.49, 33.49 degrees
Fractional positions:
La1 0.000 0.000 0.000
Pm1 0.500 0.500 0.500
Pr1 0.250 0.250 0.250
Pr2 0.750 0.750 0.750
Hg1 0.126 0.126 0.126
Hg2 0.377 0.377 0.377
Hg3 0.623 0.623 0.623
Hg4 0.874 0.874 0.874

Output
**ΔH_f (0 K)**: -0.479 eV per atom
**SG**: No. 166
**Crystal system**: trigonal
**Calculated total energy**: -0.223 Ry per atom

***

Record 2
La2PmPrHg2 | PBE | optimized geometry

Cell lengths 5.306, 9.801, 7.283 Å; angles 90.00, 90.00, 90.00 degrees
Fractional positions:
La1 0.000 0.058 0.000
La2 0.000 0.942 0.500
La3 0.500 0.171 0.313
La4 0.500 0.829 0.813
Pm1 0.000 0.327 0.660
Pm2 0.000 0.673 0.160
Pr1 0.500 0.444 0.975
Pr2 0.500 0.556 0.475
Hg1 0.000 0.357 0.226
Hg2 0.000 0.643 0.726
Hg3 0.500 0.155 0.752
Hg4 0.500 0.845 0.252

Output
**ΔH_f (0 K)**: -0.334 eV per atom
**SG**: No. 26
**Crystal system**: orthorhombic
**Calculated total energy**: -0.269 Ry per atom

***

Record 3
LaPmPrHg | PBE | optimized geometry

Cell lengths 3.784, 3.784, 9.044 Å; angles 90.00, 90.00, 90.00 degrees
Fractional positions:
La1 0.000 0.000 0.000
Pm1 0.000 0.000 0.561
Pr1 0.500 0.500 0.285
Hg1 0.500 0.500 0.769

Output
**ΔH_f (0 K)**: -0.239 eV per atom
**Excess energy over the best structure of this formula in the dataset**: 0 meV per atom
**SG**: No. 99
**Crystal system**: tetragonal
**Calculated total energy**: -0.289 Ry per atom

***

Record 4
LaPmHgRh | PBE | optimized geometry

Cell lengths 5.249, 5.249, 5.249 Å; angles 60.00, 60.00, 60.00 degrees
Fractional positions:
La1 0.000 0.000 0.000
Pm1 0.500 0.500 0.500
Hg1 0.750 0.750 0.750
Rh1 0.250 0.250 0.250

Output
**ΔH_f (0 K)**: -0.520 eV per atom
**Excess energy over the best structure of this formula in the dataset**: 61 meV per atom
**SG**: No. 216
**Crystal system**: cubic
**Calculated total energy**: -0.357 Ry per atom

***

Record 5
LaPmHgRh | PBE | optimized geometry

Cell lengths 8.125, 8.125, 8.125 Å; angles 29.69, 29.69, 29.69 degrees
Fractional positions:
La1 0.000 0.000 0.000
Pm1 0.800 0.800 0.800
Hg1 0.230 0.230 0.230
Rh1 0.398 0.398 0.398

Output
**ΔH_f (0 K)**: -0.581 eV per atom
**Excess energy over the best structure of this formula in the dataset**: 0 meV per atom
**SG**: No. 160
**Crystal system**: trigonal
**Calculated total energy**: -0.361 Ry per atom

***

Record 6
La2PmSmHg2 | PBE | optimized geometry

Cell lengths 5.285, 9.748, 7.240 Å; angles 90.00, 90.00, 90.00 degrees
Fractional positions:
La1 0.000 0.057 0.000
La2 0.000 0.943 0.500
La3 0.500 0.172 0.313
La4 0.500 0.828 0.813
Pm1 0.500 0.445 0.975
Pm2 0.500 0.555 0.475
Sm1 0.000 0.328 0.661
Sm2 0.000 0.672 0.161
Hg1 0.000 0.359 0.225
Hg2 0.000 0.641 0.725
Hg3 0.500 0.158 0.754
Hg4 0.500 0.842 0.254

Output
**ΔH_f (0 K)**: -0.336 eV per atom
**SG**: No. 26
**Crystal system**: orthorhombic
**Calculated total energy**: -0.269 Ry per atom

***

Record 7
LaPmSmHg | PBE | optimized geometry

Cell lengths 5.577, 5.577, 5.577 Å; angles 60.00, 60.00, 60.00 degrees
Fractional positions:
La1 0.000 0.000 0.000
Pm1 0.250 0.250 0.250
Sm1 0.500 0.500 0.500
Hg1 0.750 0.750 0.750

Output
**ΔH_f (0 K)**: -0.070 eV per atom
**Excess energy over the best structure of this formula in the dataset**: 163 meV per atom
**SG**: No. 216
**Crystal system**: cubic
**Calculated total energy**: -0.275 Ry per atom

***

Record 8
LaPmSmHg | PBE | optimized geometry

Cell lengths 3.765, 3.765, 8.812 Å; angles 90.00, 90.00, 90.00 degrees
Fractional positions:
La1 0.000 0.000 0.000
Pm1 0.500 0.500 0.283
Sm1 0.500 0.500 0.718
Hg1 0.000 0.000 0.503

Output
**ΔH_f (0 K)**: -0.234 eV per atom
**Excess energy over the best structure of this formula in the dataset**: 0 meV per atom
**SG**: No. 99
**Crystal system**: tetragonal
**Calculated total energy**: -0.287 Ry per atom